No. 1
DFT (GGA-PBE) results for crystalline Na2CeThS4 at its relaxed geometry.

The structure in POSCAR format:
```
Na2CeThS4
1.0
-2.872 -0.135 2.898
-4.454 -3.079 -4.557
3.708 -5.059 3.440
Na Th S Ce
2 1 4 1
direct
0.000 0.500 0.500
0.500 0.000 0.500
0.500 0.500 0.000
0.000 0.742 0.238
0.500 0.250 0.237
0.000 0.258 0.762
0.500 0.750 0.763
0.000 0.000 0.000
```

Summary:
Raw formation energy (kcal/mol of atoms): -38.8
Theoretical density (g/cm3): 4.65

=====

No. 2
DFT (GGA-PBE) results for crystalline ReMo3W at its relaxed geometry.

The structure in POSCAR format:
```
ReMo3W
1.0
4.645 0.000 0.000
0.000 4.645 0.000
0.000 0.000 4.645
Mo W Re
3 1 1
direct
0.500 0.000 0.000
0.000 0.000 0.500
0.000 0.500 0.000
0.000 0.000 0.000
0.500 0.500 0.500
```

Summary:
Relative energy among the computed polymorphs (eV per atom): 1.858
DFT formation energy (eV per atom): 2.209
Theoretical density (g/cm3): 10.90

=====

No. 3
DFT (GGA-PBE) results for crystalline Sr2Li16In at its relaxed geometry.

The structure in POSCAR format:
```
Sr2Li16In
1.0
7.649 -0.016 0.844
0.754 7.612 0.844
-0.018 -0.016 7.696
Li Sr In
16 2 1
direct
0.656 0.656 0.133
0.860 0.349 0.349
0.275 0.722 0.999
0.999 0.722 0.275
0.993 0.993 0.511
0.656 0.133 0.656
0.993 0.511 0.993
0.511 0.993 0.993
0.349 0.349 0.860
0.349 0.860 0.349
0.722 0.999 0.275
0.275 0.999 0.722
0.100 0.100 0.100
0.133 0.656 0.656
0.722 0.275 0.999
0.999 0.275 0.722
0.656 0.656 0.656
0.349 0.349 0.349
0.902 0.902 0.902
```

Summary:
DFT formation energy (eV per atom): -0.036
Theoretical density (g/cm3): 1.49

=====

No. 4
DFT (GGA-PBE) results for crystalline KSrS2 at its relaxed geometry.

The structure in POSCAR format:
```
KSrS2
1.0
6.554 0.000 0.000
0.000 6.554 0.000
3.277 3.277 7.719
S K Sr
4 2 2
direct
0.669 0.125 0.250
0.875 0.919 0.750
0.081 0.625 0.250
0.375 0.331 0.750
0.250 0.750 0.500
0.500 0.500 0.000
0.750 0.250 0.500
0.000 0.000 0.000
```

Summary:
Raw formation energy (kcal/mol of atoms): -24.2
Theoretical density (g/cm3): 1.91

=====

No. 5
DFT (GGA-PBE) results for crystalline YBe2Co2 at its relaxed geometry.

The structure in POSCAR format:
```
YBe2Co2
1.0
6.635 0.000 0.000
0.000 6.635 0.000
0.000 0.000 2.816
Y Co Be
2 4 4
direct
0.000 0.000 0.000
0.500 0.500 0.000
0.162 0.662 0.500
0.838 0.338 0.500
0.662 0.838 0.500
0.338 0.162 0.500
0.613 0.113 0.000
0.887 0.613 0.000
0.113 0.387 0.000
0.387 0.887 0.000
```

Summary:
Relative energy among the computed polymorphs (eV per atom): 0.200
DFT formation energy (eV per atom): -0.018
Theoretical density (g/cm3): 6.02

=====

No. 6
DFT (GGA-PBE) results for crystalline NaU2Cl6 at its relaxed geometry.

The structure in POSCAR format:
```
NaU2Cl6
1.0
-2.688 1.843 -2.290
-1.936 -6.879 -3.265
-11.390 -8.758 6.319
U Cl Na
4 12 2
direct
0.757 0.667 0.834
0.257 0.333 0.666
0.243 0.333 0.166
0.743 0.667 0.334
0.247 0.697 0.191
0.753 0.619 0.539
0.749 0.079 0.151
0.251 0.921 0.849
0.747 0.303 0.309
0.253 0.697 0.691
0.747 0.619 0.039
0.249 0.921 0.349
0.247 0.381 0.461
0.753 0.303 0.809
0.751 0.079 0.651
0.253 0.381 0.961
0.000 0.000 0.000
0.500 0.000 0.500
```

Summary:
Relative energy among the computed polymorphs (eV per atom): 0.018
Raw formation energy (kcal/mol of atoms): -35.3
Theoretical density (g/cm3): 5.56

=====

No. 7
DFT (GGA-PBE) results for crystalline Ac2NdTe2O2 at its relaxed geometry.

The structure in POSCAR format:
```
Ac2NdTe2O2
1.0
-3.485 -1.789 -2.471
-0.936 -2.943 3.451
-3.185 8.120 2.952
O Ac Nd Te
2 2 1 2
direct
0.500 0.000 0.000
0.000 0.500 0.000
0.616 0.616 0.232
0.384 0.384 0.768
0.000 0.000 0.000
0.183 0.183 0.365
0.817 0.817 0.635
```

Summary:
Raw formation energy (kcal/mol of atoms): -49.8
Theoretical density (g/cm3): 7.96

=====

No. 8
DFT (GGA-PBE) results for crystalline YZrSi at its relaxed geometry.

The structure in POSCAR format:
```
YZrSi
1.0
4.026 0.000 0.000
-2.013 5.379 -0.281
0.000 -5.785 6.571
Si Y Zr
2 2 2
direct
0.964 0.928 0.832
0.036 0.072 0.168
0.264 0.528 0.841
0.736 0.472 0.159
0.606 0.211 0.433
0.394 0.789 0.567
```

Summary:
Raw formation energy (kcal/mol of atoms): -13.6
Theoretical density (g/cm3): 5.09

=====

No. 9
DFT (GGA-PBE) results for crystalline MgUTc4 at its relaxed geometry.

The structure in POSCAR format:
```
MgUTc4
1.0
-3.560 2.292 -3.187
-1.785 -2.583 -4.269
-4.987 -1.789 -0.121
Tc U Mg
4 1 1
direct
0.626 0.123 0.626
0.626 0.626 0.626
0.123 0.626 0.626
0.626 0.626 0.123
0.250 0.250 0.250
0.000 0.000 0.000
```

Summary:
DFT formation energy (eV per atom): 0.177
Theoretical density (g/cm3): 10.32

=====

No. 10
DFT (GGA-PBE) results for crystalline MoRu2 at its relaxed geometry.

The structure in POSCAR format:
```
MoRu2
1.0
2.739 0.000 0.000
-1.370 2.372 0.000
0.000 0.000 6.750
Mo Ru
1 2
direct
0.000 0.000 0.000
0.667 0.333 0.664
0.333 0.667 0.336
```

Summary:
DFT formation energy (eV per atom): 0.137
Theoretical density (g/cm3): 11.28

=====

No. 11
DFT (GGA-PBE) results for crystalline Ac3ScPd2O9 at its relaxed geometry.

The structure in POSCAR format:
```
Ac3ScPd2O9
1.0
5.801 0.000 0.000
-2.900 5.023 0.000
0.000 0.000 7.099
Ac O Pd Sc
3 9 2 1
direct
0.667 0.333 0.322
0.000 0.000 0.000
0.333 0.667 0.678
0.165 0.835 0.332
0.671 0.835 0.332
0.835 0.165 0.668
0.835 0.671 0.668
0.500 0.500 0.000
0.329 0.165 0.668
0.165 0.329 0.332
0.500 0.000 0.000
0.000 0.500 0.000
0.333 0.667 0.170
0.667 0.333 0.830
0.000 0.000 0.500
```

Summary:
Raw formation energy (kcal/mol of atoms): -53.7
Theoretical density (g/cm3): 8.69

=====

No. 12
DFT (GGA-PBE) results for crystalline Mg2Ga2Cu at its relaxed geometry.

The structure in POSCAR format:
```
Mg2Ga2Cu
1.0
-3.566 1.307 1.652
-0.283 -0.856 5.259
2.046 8.418 2.951
Mg Cu Ga
4 2 4
direct
0.501 0.326 0.673
0.684 0.742 0.890
0.316 0.258 0.110
0.499 0.674 0.327
0.214 0.906 0.666
0.786 0.094 0.334
0.967 0.180 0.887
0.033 0.820 0.113
0.149 0.263 0.440
0.851 0.737 0.560
```

Summary:
Relative energy among the computed polymorphs (eV per atom): 0.000
DFT formation energy (eV per atom): -0.161
Theoretical density (g/cm3): 4.62

=====

No. 13
DFT (GGA-PBE) results for crystalline SmOsO4 at its relaxed geometry.

The structure in POSCAR format:
```
SmOsO4
1.0
5.396 0.021 0.000
-0.754 5.080 0.000
-2.321 -2.551 5.639
O Os Sm
8 2 2
direct
0.805 0.012 0.561
0.659 0.795 0.085
0.745 0.451 0.439
0.195 0.988 0.439
0.926 0.290 0.085
0.255 0.549 0.561
0.341 0.205 0.915
0.074 0.710 0.915
0.909 0.159 0.318
0.091 0.841 0.682
0.636 0.386 0.773
0.364 0.614 0.227
```

Summary:
Relative energy among the computed polymorphs (eV per atom): 0.101
Raw formation energy (kcal/mol of atoms): -44.3
Theoretical density (g/cm3): 8.69

=====

No. 14
DFT (GGA-PBE) results for crystalline La4Pr6Cd at its relaxed geometry.

The structure in POSCAR format:
```
La4Pr6Cd
1.0
-9.209 1.358 3.057
7.563 -6.021 1.592
9.002 3.469 1.711
La Pr Cd
4 6 1
direct
0.352 0.356 0.356
0.000 0.996 0.644
0.648 0.004 0.004
0.000 0.644 0.996
0.500 0.000 0.500
0.000 0.778 0.455
0.000 0.455 0.778
0.678 0.222 0.222
0.500 0.500 0.000
0.322 0.545 0.545
0.000 0.000 0.000
```

Summary:
DFT formation energy (eV per atom): 0.184
Theoretical density (g/cm3): 6.39

=====

No. 15
DFT (GGA-PBE) results for crystalline HfZr2Pb at its relaxed geometry.

The structure in POSCAR format:
```
HfZr2Pb
1.0
3.219 0.000 0.000
-0.001 6.297 1.295
-0.001 1.263 9.678
Pb Zr Hf
2 4 2
direct
0.282 0.704 0.728
0.283 0.204 0.728
0.782 0.586 0.465
0.782 0.322 0.990
0.782 0.086 0.465
0.782 0.822 0.990
0.282 0.954 0.228
0.282 0.454 0.228
```

Summary:
Relative energy among the computed polymorphs (eV per atom): 0.035
DFT formation energy (eV per atom): -0.071
Theoretical density (g/cm3): 9.88

=====

No. 16
DFT (GGA-PBE) results for crystalline BaNiGe2Ru at its relaxed geometry.

The structure in POSCAR format:
```
BaNiGe2Ru
1.0
-0.087 -4.089 0.461
4.105 -0.054 0.297
-2.448 2.779 5.816
Ru Ge Ni Ba
1 2 1 1
direct
0.250 0.750 0.500
0.351 0.351 0.703
0.649 0.649 0.297
0.750 0.250 0.500
0.000 0.000 0.000
```

Summary:
DFT formation energy (eV per atom): -0.466
Theoretical density (g/cm3): 6.94

=====

No. 17
DFT (GGA-PBE) results for crystalline TbSmTm5 at its relaxed geometry.

The structure in POSCAR format:
```
TbSmTm5
1.0
6.116 0.000 0.000
0.000 7.957 0.000
-3.058 -3.979 5.810
Tm Sm Tb
5 1 1
direct
0.186 0.257 0.514
0.671 0.743 0.486
0.434 0.820 0.000
0.171 0.500 0.000
0.434 0.180 0.000
0.697 0.500 0.000
0.937 0.000 0.000
```

Summary:
Relative energy among the computed polymorphs (eV per atom): 0.815
DFT formation energy (eV per atom): 1.017
Theoretical density (g/cm3): 6.78

=====

No. 18
DFT (GGA-PBE) results for crystalline ReAgPd2 at its relaxed geometry.

The structure in POSCAR format:
```
ReAgPd2
1.0
7.157 0.000 0.000
0.000 7.157 0.000
3.579 3.579 2.756
Pd Ag Re
4 2 2
direct
0.649 0.125 0.250
0.875 0.899 0.750
0.375 0.351 0.750
0.101 0.625 0.250
0.500 0.500 0.000
0.250 0.750 0.500
0.000 0.000 0.000
0.750 0.250 0.500
```

Summary:
Relative energy among the computed polymorphs (eV per atom): 0.786
DFT formation energy (eV per atom): 0.845
Theoretical density (g/cm3): 11.92

=====

No. 19
DFT (GGA-PBE) results for crystalline CaMgScGa at its relaxed geometry.

The structure in POSCAR format:
```
CaMgScGa
1.0
-3.014 -2.840 -2.966
-0.718 -4.927 1.073
-4.513 -1.596 1.740
Ga Ca Sc Mg
1 1 1 1
direct
0.250 0.250 0.250
0.000 0.000 0.000
0.500 0.500 0.500
0.750 0.750 0.750
```

Summary:
DFT formation energy (eV per atom): -0.244
Theoretical density (g/cm3): 3.18

=====

No. 20
DFT (GGA-PBE) results for crystalline CeTm2Ge at its relaxed geometry.

The structure in POSCAR format:
```
CeTm2Ge
1.0
-3.506 0.074 -0.446
-1.388 -0.601 -3.195
-2.099 -9.950 0.828
Tm Ge Ce
2 1 1
direct
0.736 0.736 0.792
0.264 0.264 0.208
0.000 0.000 0.000
0.500 0.500 0.500
```

Summary:
Relative energy among the computed polymorphs (eV per atom): 0.135
DFT formation energy (eV per atom): -0.182
Theoretical density (g/cm3): 8.45

=====

No. 21
DFT (GGA-PBE) results for crystalline Na2PmAuO4 at its relaxed geometry.

The structure in POSCAR format:
```
Na2PmAuO4
1.0
-3.073 -3.171 -2.965
4.395 -2.483 1.677
-2.447 1.539 4.465
Pm Na O Au
1 2 4 1
direct
0.500 0.250 0.750
0.000 0.000 0.000
0.500 0.750 0.250
0.473 0.792 0.701
0.527 0.228 0.319
0.091 0.299 0.772
0.909 0.681 0.208
0.000 0.500 0.500
```

Summary:
Raw formation energy (kcal/mol of atoms): -38.2
Theoretical density (g/cm3): 6.51

=====

No. 22
DFT (GGA-PBE) results for crystalline BeTlCl at its relaxed geometry.

The structure in POSCAR format:
```
BeTlCl
1.0
8.549 -0.080 0.045
7.380 3.295 -0.053
1.168 -1.812 2.848
Cl Tl Be
1 1 1
direct
0.396 0.396 0.604
0.625 0.625 0.375
0.978 0.978 0.022
```

Summary:
Relative energy among the computed polymorphs (eV per atom): 0.005
Raw formation energy (kcal/mol of atoms): -3.2
Theoretical density (g/cm3): 5.15

=====

No. 23
DFT (GGA-PBE) results for crystalline NaCrFeRh2 at its relaxed geometry.

The structure in POSCAR format:
```
NaCrFeRh2
1.0
4.544 0.000 0.000
0.000 4.276 0.000
0.000 0.000 4.544
Cr Rh Na Fe
1 2 1 1
direct
0.000 0.000 0.000
0.000 0.000 0.500
0.500 0.000 0.000
0.500 0.500 0.500
0.000 0.500 0.000
```

Summary:
DFT formation energy (eV per atom): 0.761
Theoretical density (g/cm3): 6.33

=====

No. 24
DFT (GGA-PBE) results for crystalline LaPr2HgRu at its relaxed geometry.

The structure in POSCAR format:
```
LaPr2HgRu
1.0
5.535 0.000 0.000
0.000 5.535 0.000
0.000 0.000 5.458
Hg Pr Ru La
1 2 1 1
direct
0.500 0.500 0.581
0.500 0.000 0.960
0.000 0.500 0.960
0.000 0.000 0.021
0.000 0.000 0.478
```

Summary:
DFT formation energy (eV per atom): -0.171
Theoretical density (g/cm3): 7.17

=====

No. 25
DFT (GGA-PBE) results for crystalline KLiCl at its relaxed geometry.

The structure in POSCAR format:
```
KLiCl
1.0
3.989 0.000 0.000
-1.994 3.454 0.000
0.000 0.000 6.935
K Li Cl
1 1 1
direct
0.667 0.333 0.278
0.333 0.667 0.782
0.000 0.000 0.940
```

Summary:
Relative energy among the computed polymorphs (eV per atom): 0.056
Raw formation energy (kcal/mol of atoms): -25.1
Theoretical density (g/cm3): 1.42